1.
# Sc2SiNi6 PBE-GGA optimized geometry
data_Sc2SiNi6
_chemical_formula_sum 'Sc4 Si2 Ni12'
_cell_length_a 8.7769
_cell_length_b 5.0665
_cell_length_c 5.3369
_cell_angle_alpha 90.00
_cell_angle_beta 90.07
_cell_angle_gamma 90.00
_space_group_name_H-M_alt 'C 1 2/m 1'
_space_group_IT_number 12
_space_group_name_Hall '-C 2y'
loop_
_atom_site_label
_atom_site_type_symbol
_atom_site_fract_x
_atom_site_fract_y
_atom_site_fract_z
Sc1 Sc 0.1668 0.0000 0.1588
Si1 Si 0.0000 0.5000 0.0000
Ni1 Ni 0.0862 0.2406 0.6808
Ni2 Ni 0.1734 0.5000 0.3200
# calculated volume	13.2	A^3/atom
# energy relative to the elements, uncorrected	-0.541	eV per atom
# mass density	6.6	Mg/m³



2.
# TiSb2TeC PBE-GGA optimized geometry
data_TiSb2TeC
_chemical_formula_sum 'Ti1 Sb2 Te1 C1'
_cell_length_a 5.2400
_cell_length_b 5.2400
_cell_length_c 5.2137
_cell_angle_alpha 90.00
_cell_angle_beta 90.00
_cell_angle_gamma 90.00
_space_group_name_H-M_alt 'P 4/m m m'
_space_group_IT_number 123
_space_group_name_Hall '-P 4 2'
loop_
_atom_site_label
_atom_site_type_symbol
_atom_site_fract_x
_atom_site_fract_y
_atom_site_fract_z
Ti1 Ti 0.0000 0.0000 0.0000
Sb1 Sb 0.0000 0.5000 0.0000
Te1 Te 0.0000 0.0000 0.5000
C1 C 0.5000 0.5000 0.5000
# calculated volume	28.6	A^3/atom
# energy relative to the elements, uncorrected	1.401	eV per atom
# mass density	5.0	Mg/m³



3.
# SrNb3Au PBE-GGA optimized geometry
data_SrNb3Au
_chemical_formula_sum 'Sr1 Nb3 Au1'
_cell_length_a 4.8148
_cell_length_b 4.8148
_cell_length_c 4.8148
_cell_angle_alpha 90.00
_cell_angle_beta 90.00
_cell_angle_gamma 90.00
_space_group_name_H-M_alt 'P m -3 m'
_space_group_IT_number 221
_space_group_name_Hall '-P 4 2 3'
loop_
_atom_site_label
_atom_site_type_symbol
_atom_site_fract_x
_atom_site_fract_y
_atom_site_fract_z
Sr1 Sr 0.0000 0.0000 0.0000
Nb1 Nb 0.0000 0.0000 0.5000
Au1 Au 0.5000 0.5000 0.5000
# calculated volume	22.3	A^3/atom
# energy relative to the elements	2455	meV/atom
# mass density	8.4	Mg/m³



4.
# Th2Ni12GeP3 PBE-GGA optimized geometry
data_Th2Ni12GeP3
_chemical_formula_sum 'Th6 Ni36 Ge3 P9'
_cell_length_a 7.4714
_cell_length_b 7.4714
_cell_length_c 17.4612
_cell_angle_alpha 90.00
_cell_angle_beta 90.00
_cell_angle_gamma 120.00
_space_group_name_H-M_alt 'R -3 m'
_space_group_IT_number 166
_space_group_name_Hall '-R 3 2"'
loop_
_atom_site_label
_atom_site_type_symbol
_atom_site_fract_x
_atom_site_fract_y
_atom_site_fract_z
Th1 Th 0.0000 0.0000 0.1160
Ni1 Ni 0.0003 0.5001 0.1229
Ni2 Ni 0.0300 0.5150 0.3644
Ge1 Ge 0.0000 0.0000 0.5000
P1 P 0.0000 0.5000 0.0000
# calculated volume	15.6	A^3/atom
# energy relative to the elements	-176	meV/atom
# mass density	7.9	Mg/m³



5.
# RbCSN2 PBE-GGA optimized geometry
data_RbCSN2
_chemical_formula_sum 'Rb1 C1 S1 N2'
_cell_length_a 4.4836
_cell_length_b 4.4836
_cell_length_c 4.0232
_cell_angle_alpha 90.00
_cell_angle_beta 90.00
_cell_angle_gamma 90.00
_space_group_name_H-M_alt 'P 4/m m m'
_space_group_IT_number 123
_space_group_name_Hall '-P 4 2'
loop_
_atom_site_label
_atom_site_type_symbol
_atom_site_fract_x
_atom_site_fract_y
_atom_site_fract_z
Rb1 Rb 0.0000 0.0000 0.0000
C1 C 0.5000 0.5000 0.5000
S1 S 0.5000 0.5000 0.0000
N1 N 0.0000 0.5000 0.5000
# calculated volume	16.2	A^3/atom
# energy relative to the elements, uncorrected	2.277	eV per atom
# mass density	3.2	Mg/m³



6.
# CeAlTcNi PBE-GGA optimized geometry
data_CeAlTcNi
_chemical_formula_sum 'Ce4 Al4 Tc4 Ni4'
_cell_length_a 6.4462
_cell_length_b 6.4462
_cell_length_c 6.4462
_cell_angle_alpha 90.00
_cell_angle_beta 90.00
_cell_angle_gamma 90.00
_space_group_name_H-M_alt 'F -4 3 m'
_space_group_IT_number 216
_space_group_name_Hall 'F -4 2 3'
loop_
_atom_site_label
_atom_site_type_symbol
_atom_site_fract_x
_atom_site_fract_y
_atom_site_fract_z
Ce1 Ce 0.0000 0.0000 0.0000
Al1 Al 0.0000 0.0000 0.5000
Tc1 Tc 0.2500 0.2500 0.7500
Ni1 Ni 0.2500 0.2500 0.2500
# calculated volume	16.7	A^3/atom
# energy relative to the elements	-256	meV/atom
# mass density	8.0	Mg/m³



Copy entry 1 word for word.
# Sc2SiNi6 PBE-GGA optimized geometry
data_Sc2SiNi6
_chemical_formula_sum 'Sc4 Si2 Ni12'
_cell_length_a 8.7769
_cell_length_b 5.0665
_cell_length_c 5.3369
_cell_angle_alpha 90.00
_cell_angle_beta 90.07
_cell_angle_gamma 90.00
_space_group_name_H-M_alt 'C 1 2/m 1'
_space_group_IT_number 12
_space_group_name_Hall '-C 2y'
loop_
_atom_site_label
_atom_site_type_symbol
_atom_site_fract_x
_atom_site_fract_y
_atom_site_fract_z
Sc1 Sc 0.1668 0.0000 0.1588
Si1 Si 0.0000 0.5000 0.0000
Ni1 Ni 0.0862 0.2406 0.6808
Ni2 Ni 0.1734 0.5000 0.3200
# calculated volume	13.2	A^3/atom
# energy relative to the elements, uncorrected	-0.541	eV per atom
# mass density	6.6	Mg/m³